# 1
## Rb4Pm3InTe8 (PBE)

Data for an optimized crystal structure of Rb4Pm3InTe8.

Geometry as POSCAR:
```
Rb4Pm3InTe8
1.0
-5.897 2.237 -6.687
-7.688 -0.929 6.468
6.742 5.805 2.314
Te Rb Pm In
8 4 3 1
Cartesian
-6.657 1.616 -3.145
-3.208 6.643 1.813
-3.201 4.591 -1.959
-0.186 5.497 5.241
-0.259 3.396 1.365
-3.634 0.469 0.282
-3.641 2.521 4.054
-6.583 3.716 0.731
0.000 0.000 0.000
3.371 2.902 1.157
-2.948 1.118 -3.344
0.423 4.021 -2.187
-6.792 0.654 -0.110
-0.473 2.438 4.391
-3.421 3.556 1.048
-3.844 -0.465 3.234
```

Output
* space-group type: R-3m, No. 166
* formation energy from raw total energies: -113.9 kJ/mol of atoms

=====

# 2
## MgCr2CuBi (PBE)

Data for an optimized crystal structure of MgCr2CuBi.

Geometry as POSCAR:
```
MgCr2CuBi
1.0
4.836 0.000 0.000
0.000 5.053 0.000
0.000 0.000 4.836
Cr Cu Mg Bi
2 1 1 1
Cartesian
0.000 0.000 2.418
2.418 0.000 0.000
0.000 0.000 0.000
2.418 2.527 2.418
0.000 2.527 0.000
```

Output
* space-group type: P4/mmm, No. 123
* formation enthalpy at 0 K: 0.8373 eV/atom

=====

# 3
## Pu2TeI (PBE)

Data for an optimized crystal structure of Pu2TeI.

Geometry as POSCAR:
```
Pu2TeI
1.0
-1.199 -3.694 1.626
2.888 -2.895 1.004
1.095 0.955 8.431
Pu Te I
2 1 1
Cartesian
0.970 0.212 6.650
0.688 -1.456 2.652
2.219 -3.448 10.162
1.394 -2.806 5.558
```

Output
* space-group type: R3m, No. 160
* formation energy from raw total energies: -75.9 kJ/mol of atoms

=====

# 4
## LiMg2Ta (PBE)

Data for an optimized crystal structure of LiMg2Ta.

Geometry as POSCAR:
```
LiMg2Ta
1.0
2.865 -0.049 0.000
-1.060 2.662 0.000
0.000 0.000 10.240
Mg Ta Li
2 1 1
Cartesian
0.000 0.000 10.182
0.902 1.307 2.622
0.000 0.000 5.140
0.902 1.307 7.656
```

Output
* space-group type: Cmm2, No. 35
* formation enthalpy at 0 K: 0.2200 eV/atom

=====

# 5
## Ca8Ga2Hg (PBE)

Data for an optimized crystal structure of Ca8Ga2Hg.

Geometry as POSCAR:
```
Ca8Ga2Hg
1.0
-1.881 3.114 -1.436
-7.119 -1.336 6.430
9.336 5.073 4.095
Ca Ga Hg
8 2 1
Cartesian
4.442 4.090 3.051
-0.888 5.342 7.422
1.224 1.508 1.668
1.791 3.593 5.445
-1.455 3.258 3.645
-2.063 -0.387 1.863
-5.056 -0.949 4.567
-4.106 2.760 6.039
1.401 4.444 2.475
-1.065 2.406 6.615
-0.941 1.557 -0.718
```

Output
* space-group type: Immm, No. 71
* formation enthalpy at 0 K: -0.2273 eV/atom

=====

# 6
## Ba2CaIr (PBE)

Data for an optimized crystal structure of Ba2CaIr.

Geometry as POSCAR:
```
Ba2CaIr
1.0
-6.637 -3.375 1.427
-4.797 -2.341 -5.384
6.835 -0.272 3.269
Ir Ba Ca
1 2 1
Cartesian
-1.928 -2.779 -2.077
-2.779 -3.262 1.352
-0.908 -0.454 -0.314
-4.703 -2.351 -1.628
```

Output
* space-group type: Imm2, No. 44
* formation enthalpy at 0 K: -0.0278 eV/atom

=====

# 7
## CePr2Hg4 (PBE)

Data for an optimized crystal structure of CePr2Hg4.

Geometry as POSCAR:
```
CePr2Hg4
1.0
5.754 0.000 0.000
0.000 5.754 0.000
-2.877 -2.877 7.994
Hg Pr Ce
4 2 1
Cartesian
2.877 0.000 0.000
0.000 0.000 3.147
2.877 2.877 4.847
0.000 2.877 0.000
2.877 2.877 1.651
0.000 0.000 6.343
0.000 0.000 0.000
```

Output
* space-group type: I4/mmm, No. 139
* formation enthalpy at 0 K: 0.0472 eV/atom

=====

# 8
## BaTePbSe (PBE)

Data for an optimized crystal structure of BaTePbSe.

Geometry as POSCAR:
```
BaTePbSe
1.0
-0.334 -4.651 -0.201
0.046 -0.205 4.663
-6.748 0.481 0.088
Se Ba Pb Te
1 1 1 1
Cartesian
-3.518 -2.188 2.275
-3.374 0.241 0.044
-0.144 -2.428 2.231
0.000 0.000 0.000
```

Output
* space-group type: P4/mmm, No. 123
* formation energy from raw total energies: -113.3 kJ/mol of atoms

=====

# 9
## BeCdSn (PBE)

Data for an optimized crystal structure of BeCdSn.

Geometry as POSCAR:
```
BeCdSn
1.0
3.994 0.000 -0.033
0.000 4.600 0.000
-1.919 0.000 6.549
Cd Sn Be
2 2 2
Cartesian
0.012 1.150 2.385
2.063 3.450 4.131
0.066 1.150 5.286
2.010 3.450 1.229
0.000 2.300 0.000
0.000 0.000 0.000
```

Output
* space-group type: P2_1/m, No. 11
* formation enthalpy at 0 K: 0.1968 eV/atom

=====

# 10
## BaCaTe (PBE)

Data for an optimized crystal structure of BaCaTe.

Geometry as POSCAR:
```
BaCaTe
1.0
7.782 0.008 -0.009
6.686 3.978 -0.002
1.096 0.286 3.959
Ca Te Ba
1 1 1
Cartesian
10.542 2.899 1.155
5.361 1.466 2.693
14.129 3.892 0.090
```

Output
* space-group type: Fmm2, No. 42
* formation energy from raw total energies: -93.7 kJ/mol of atoms

=====

# 11
## Tb5Sm4Er2 (PBE)

Data for an optimized crystal structure of Tb5Sm4Er2.

Geometry as POSCAR:
```
Tb5Sm4Er2
1.0
4.961 0.000 -0.893
-0.995 5.692 -5.530
0.918 -6.903 19.329
Tb Sm Er
5 4 2
Cartesian
4.682 -3.478 11.787
1.003 -0.053 5.570
3.881 -1.158 7.336
0.201 2.267 1.119
2.480 0.000 -0.446
1.800 -2.321 10.001
5.480 -5.748 16.220
-0.596 4.537 -3.314
3.084 1.110 2.904
2.598 -4.611 14.436
2.285 3.399 -1.531
```

Output
* space-group type: C2/m, No. 12
* formation enthalpy at 0 K: 0.0146 eV/atom

=====

# 12
## NaTaMo2 (PBE)

Data for an optimized crystal structure of NaTaMo2.

Geometry as POSCAR:
```
NaTaMo2
1.0
0.000 3.258 3.258
3.258 0.000 3.258
3.258 3.258 0.000
Ta Na Mo
1 1 2
Cartesian
3.258 3.258 3.258
0.000 0.000 0.000
4.887 4.887 4.887
1.629 1.629 1.629
```

Output
* space-group type: Fm-3m, No. 225
* formation enthalpy at 0 K: 0.8924 eV/atom